No. 1
A relaxed structure of TaAgMo3, computed with GGA-PBE.

Properties
Polymorph energy (0 for the lowest one) in kJ/mol of formula units: 0
Energy in eV for the cell shown: -38.02
Calculated formation energy in eV/atom: 1.834

Cell lengths 4.7609, 4.7609, 4.7609 Å; angles 90.00, 90.00, 90.00 degrees
Element x y z (fractional)
Mo1 0.0000 0.5000 0.0000
Mo2 0.0000 0.0000 0.5000
Mo3 0.5000 0.0000 0.0000
Ag1 0.5000 0.5000 0.5000
Ta1 0.0000 0.0000 0.0000

No. 2
A relaxed structure of ScTcMo2, computed with GGA-PBE.

Properties
Polymorph energy (0 for the lowest one) in kJ/mol of formula units: 0
Energy in eV for the cell shown: -38.79
Calculated formation energy in eV/atom: -0.109

Cell lengths 5.3657, 5.3657, 5.3657 Å; angles 145.49, 130.98, 61.32 degrees
Element x y z (fractional)
Sc1 0.2500 0.7500 0.5000
Mo1 0.9875 0.9875 0.0000
Mo2 0.5125 0.5125 0.0000
Tc1 0.7500 0.2500 0.5000

No. 3
A relaxed structure of KCaRu, computed with GGA-PBE.

Properties
Polymorph energy (0 for the lowest one) in kJ/mol of formula units: 0
Energy in eV for the cell shown: -10.23
Calculated formation energy in eV/atom: 0.716

Cell lengths 8.2314, 8.2314, 8.2314 Å; angles 157.15, 154.62, 34.41 degrees
Element x y z (fractional)
Ca1 0.0501 0.0501 0.0000
K1 0.2986 0.2986 0.0000
Ru1 0.6513 0.6513 0.0000

No. 4
A relaxed structure of CaCdIn2Mo, computed with GGA-PBE.

Properties
Energy in eV for the cell shown: -10.29
Calculated formation energy in eV/atom: 1.786

Cell lengths 5.4942, 5.3265, 5.4942 Å; angles 90.00, 90.00, 90.00 degrees
Element x y z (fractional)
Mo1 0.5000 0.5000 0.5000
Cd1 0.0000 0.5000 0.0000
Ca1 0.0000 0.0000 0.0000
In1 0.0000 0.0000 0.5000
In2 0.5000 0.0000 0.0000

No. 5
A relaxed structure of LaNd4Ho6, computed with GGA-PBE.

Properties
Polymorph energy (0 for the lowest one) in kJ/mol of formula units: 0
Energy in eV for the cell shown: -49.85
Calculated formation energy in eV/atom: 0.147

Cell lengths 3.5554, 11.0627, 11.0627 Å; angles 120.00, 90.00, 90.00 degrees
Element x y z (fractional)
La1 0.0000 0.0000 0.0000
Nd1 0.5000 0.8020 0.6040
Nd2 0.5000 0.3960 0.1980
Nd3 0.5000 0.8020 0.1980
Nd4 0.0000 0.3333 0.6667
Ho1 0.0000 0.4962 0.9924
Ho2 0.5000 0.6570 0.8285
Ho3 0.0000 0.4962 0.5038
Ho4 0.0000 0.0076 0.5038
Ho5 0.5000 0.1715 0.8285
Ho6 0.5000 0.1715 0.3430

No. 6
A relaxed structure of CeFe2SiN, computed with GGA-PBE.

Properties
Raw formation energy in eV per atom: -0.7858
Energy in eV for the cell shown: -81.07

Cell lengths 3.7314, 5.6592, 6.7029 Å; angles 90.00, 90.00, 109.25 degrees
Element x y z (fractional)
Ce1 0.4448 0.8897 0.7500
Ce2 0.5552 0.1103 0.2500
Fe1 0.1629 0.3257 0.9444
Fe2 0.8371 0.6743 0.0556
Fe3 0.1629 0.3257 0.5556
Fe4 0.8371 0.6743 0.4444
Si1 0.7245 0.4490 0.7500
Si2 0.2755 0.5510 0.2500
N1 0.0000 0.0000 0.0000
N2 0.0000 0.0000 0.5000

No. 7
A relaxed structure of Pm2HoPa2Ru5, computed with GGA-PBE.

Properties
Energy in eV for the cell shown: -164.54
Calculated formation energy in eV/atom: -0.282

Cell lengths 3.7066, 10.6865, 10.6865 Å; angles 90.00, 90.00, 90.00 degrees
Element x y z (fractional)
Pm1 0.0000 0.6746 0.1746
Pm2 0.0000 0.3254 0.8254
Pm3 0.0000 0.1746 0.3254
Pm4 0.0000 0.8254 0.6746
Ho1 0.0000 0.0000 0.0000
Ho2 0.0000 0.5000 0.5000
Pa1 0.0000 0.1336 0.6336
Pa2 0.0000 0.8664 0.3664
Pa3 0.0000 0.6336 0.8664
Pa4 0.0000 0.3664 0.1336
Ru1 0.5000 0.2094 0.0543
Ru2 0.5000 0.7906 0.9457
Ru3 0.5000 0.0543 0.7906
Ru4 0.5000 0.7094 0.4457
Ru5 0.5000 0.9457 0.2094
Ru6 0.5000 0.2906 0.5543
Ru7 0.5000 0.5543 0.7094
Ru8 0.5000 0.4457 0.2906
Ru9 0.5000 0.5000 0.0000
Ru10 0.5000 0.0000 0.5000

No. 8
A relaxed structure of HgIr2Cl, computed with GGA-PBE.

Properties
Polymorph energy (0 for the lowest one) in kJ/mol of formula units: 52
Raw formation energy in eV per atom: 0.4421
Energy in eV for the cell shown: -18.10

Cell lengths 10.2367, 10.2367, 10.2367 Å; angles 16.51, 16.51, 16.51 degrees
Element x y z (fractional)
Ir1 0.9871 0.9871 0.9871
Ir2 0.2541 0.2541 0.2541
Hg1 0.7355 0.7355 0.7355
Cl1 0.5234 0.5234 0.5234

No. 9
A relaxed structure of SrEr3Tl4, computed with GGA-PBE.

Properties
Energy in eV for the cell shown: -54.55
Calculated formation energy in eV/atom: -0.305

Cell lengths 5.4634, 7.6289, 10.9295 Å; angles 90.00, 90.00, 90.00 degrees
Element x y z (fractional)
Sr1 0.0000 0.5000 0.0000
Sr2 0.0000 0.5000 0.5000
Tl1 0.5000 0.7610 0.0000
Tl2 0.5000 0.7610 0.5000
Tl3 0.5000 0.2390 0.0000
Tl4 0.5000 0.2390 0.5000
Tl5 0.0027 0.7607 0.7500
Tl6 0.9973 0.7607 0.2500
Tl7 0.9973 0.2393 0.2500
Tl8 0.0027 0.2393 0.7500
Er1 0.0000 0.0000 0.0000
Er2 0.0000 0.0000 0.5000
Er3 0.5026 0.0000 0.7500
Er4 0.4974 0.0000 0.2500
Er5 0.5017 0.5000 0.7500
Er6 0.4983 0.5000 0.2500

No. 10
A relaxed structure of PmPrInAg, computed with GGA-PBE.

Properties
Energy in eV for the cell shown: -16.59
Calculated formation energy in eV/atom: -0.367

Cell lengths 5.4220, 5.4220, 5.4220 Å; angles 60.00, 60.00, 60.00 degrees
Element x y z (fractional)
Pr1 0.5000 0.5000 0.5000
In1 0.7500 0.7500 0.7500
Ag1 0.2500 0.2500 0.2500
Pm1 0.0000 0.0000 0.0000

No. 11
A relaxed structure of MgHgRhAu, computed with GGA-PBE.

Properties
Energy in eV for the cell shown: -13.72
Calculated formation energy in eV/atom: -0.299

Cell lengths 3.9557, 4.1232, 4.2604 Å; angles 90.00, 90.00, 90.00 degrees
Element x y z (fractional)
Mg1 0.0000 0.0000 0.0000
Hg1 0.0000 0.5000 0.5000
Rh1 0.5000 0.0000 0.5000
Au1 0.5000 0.5000 0.0000

No. 12
A relaxed structure of LiCd8Ni2, computed with GGA-PBE.

Properties
Energy in eV for the cell shown: -20.71
Calculated formation energy in eV/atom: 0.008

Cell lengths 4.9436, 7.0054, 7.0054 Å; angles 108.73, 97.07, 97.07 degrees
Element x y z (fractional)
Li1 0.5000 0.0000 0.0000
Cd1 0.9012 0.9406 0.6787
Cd2 0.9012 0.6787 0.9406
Cd3 0.3314 0.6416 0.6416
Cd4 0.5000 0.7453 0.2547
Cd5 0.5000 0.2547 0.7453
Cd6 0.6686 0.3584 0.3584
Cd7 0.0988 0.3213 0.0594
Cd8 0.0988 0.0594 0.3213
Ni1 0.0000 0.3262 0.6738
Ni2 0.0000 0.6738 0.3262

No. 13
A relaxed structure of ReC, computed with GGA-PBE.

Properties
Polymorph energy (0 for the lowest one) in kJ/mol of formula units: 398
Energy in eV for the cell shown: -34.14
Calculated formation energy in eV/atom: 2.301

Cell lengths 4.0398, 4.0398, 4.0398 Å; angles 60.00, 60.00, 60.00 degrees
Element x y z (fractional)
Re1 0.5000 0.5000 0.5000
Re2 0.7500 0.7500 0.7500
C1 0.0000 0.0000 0.0000
C2 0.2500 0.2500 0.2500

No. 14
A relaxed structure of Pr4Er5Tl, computed with GGA-PBE.

Properties
Polymorph energy (0 for the lowest one) in kJ/mol of formula units: 50
Energy in eV for the cell shown: -43.48
Calculated formation energy in eV/atom: 0.082

Cell lengths 5.8170, 8.1690, 8.1690 Å; angles 82.72, 69.14, 69.14 degrees
Element x y z (fractional)
Pr1 0.4622 0.3125 0.6875
Pr2 0.7747 0.6875 0.6875
Pr3 0.1497 0.3125 0.3125
Pr4 0.4621 0.6875 0.3125
Er1 0.7721 0.3673 0.0001
Er2 0.1393 0.0001 0.6327
Er3 0.7721 0.9999 0.3673
Er4 0.1394 0.6327 0.9999
Er5 0.6610 0.0000 0.0000
Tl1 0.1777 0.0000 0.0000

No. 15
A relaxed structure of Y12Er7Th, computed with GGA-PBE.

Properties
Polymorph energy (0 for the lowest one) in kJ/mol of formula units: 0
Energy in eV for the cell shown: -112.02
Calculated formation energy in eV/atom: 0.245

Cell lengths 8.7075, 8.7075, 8.7075 Å; angles 89.29, 89.29, 89.29 degrees
Element x y z (fractional)
Y1 0.8673 0.2802 0.7408
Y2 0.7198 0.2592 0.1327
Y3 0.6159 0.1477 0.5021
Y4 0.8523 0.4979 0.3841
Y5 0.2592 0.1327 0.7198
Y6 0.4979 0.3841 0.8523
Y7 0.5021 0.6159 0.1477
Y8 0.7408 0.8673 0.2802
Y9 0.1477 0.5021 0.6159
Y10 0.3841 0.8523 0.4979
Y11 0.2802 0.7408 0.8673
Y12 0.1327 0.7198 0.2592
Er1 0.8479 0.6209 0.9494
Er2 0.3791 0.0506 0.1521
Er3 0.0506 0.1521 0.3791
Er4 0.5000 0.5000 0.5000
Er5 0.9494 0.8479 0.6209
Er6 0.6209 0.9494 0.8479
Er7 0.1521 0.3791 0.0506
Th1 0.0000 0.0000 0.0000

No. 16
A relaxed structure of LiTh2Ni2, computed with GGA-PBE.

Properties
Energy in eV for the cell shown: -59.76
Calculated formation energy in eV/atom: -0.313

Cell lengths 3.6988, 7.5344, 7.5344 Å; angles 90.00, 90.00, 90.00 degrees
Element x y z (fractional)
Li1 0.0000 0.0000 0.0000
Li2 0.0000 0.5000 0.5000
Th1 0.5000 0.1716 0.6716
Th2 0.5000 0.6716 0.8284
Th3 0.5000 0.8284 0.3284
Th4 0.5000 0.3284 0.1716
Ni1 0.0000 0.3754 0.8754
Ni2 0.0000 0.8754 0.6246
Ni3 0.0000 0.6246 0.1246
Ni4 0.0000 0.1246 0.3754

No. 17
A relaxed structure of NaLiBr2, computed with GGA-PBE.

Properties
Polymorph energy (0 for the lowest one) in kJ/mol of formula units: 49
Raw formation energy in eV per atom: -1.3968
Energy in eV for the cell shown: -12.17

Cell lengths 8.2554, 8.2554, 8.2554 Å; angles 31.54, 31.54, 31.54 degrees
Element x y z (fractional)
Na1 0.5000 0.5000 0.5000
Br1 0.9009 0.9009 0.9009
Br2 0.0991 0.0991 0.0991
Li1 0.0000 0.0000 0.0000

No. 18
A relaxed structure of DyU3Tl2O12, computed with GGA-PBE.

Properties
Raw formation energy in eV per atom: -2.6662
Energy in eV for the cell shown: -150.69

Cell lengths 7.9487, 7.9487, 7.9487 Å; angles 61.57, 61.57, 61.57 degrees
Element x y z (fractional)
Dy1 0.0000 0.0000 0.0000
U1 0.5000 0.0000 0.0000
U2 0.0000 0.5000 0.0000
U3 0.0000 0.0000 0.5000
Tl1 0.6790 0.6790 0.6790
Tl2 0.3210 0.3210 0.3210
O1 0.3075 0.3075 0.9501
O2 0.9344 0.9344 0.3323
O3 0.3323 0.9344 0.9344
O4 0.9501 0.3075 0.3075
O5 0.9344 0.3323 0.9344
O6 0.3075 0.9501 0.3075
O7 0.6925 0.6925 0.0499
O8 0.0656 0.0656 0.6677
O9 0.6677 0.0656 0.0656
O10 0.0499 0.6925 0.6925
O11 0.0656 0.6677 0.0656
O12 0.6925 0.0499 0.6925

No. 19
A relaxed structure of Th2Tl3InTe6, computed with GGA-PBE.

Properties
Raw formation energy in eV per atom: -0.7529
Energy in eV for the cell shown: -52.56

Cell lengths 4.6117, 9.7851, 10.6787 Å; angles 104.75, 102.47, 90.00 degrees
Element x y z (fractional)
Th1 0.8349 0.6693 0.6698
Th2 0.1651 0.3307 0.3302
Tl1 0.5000 0.5000 0.0000
Tl2 0.8435 0.1654 0.6870
Tl3 0.1565 0.8346 0.3130
In1 0.5000 0.0000 0.0000
Te1 0.3298 0.8855 0.6596
Te2 0.6738 0.5630 0.3476
Te3 0.6702 0.1145 0.3404
Te4 0.0168 0.2537 0.0335
Te5 0.9832 0.7463 0.9665
Te6 0.3262 0.4370 0.6524

No. 20
A relaxed structure of MgTiNbRe, computed with GGA-PBE.

Properties
Energy in eV for the cell shown: -32.15
Calculated formation energy in eV/atom: -0.036

Cell lengths 4.5670, 4.5670, 4.5670 Å; angles 60.00, 60.00, 60.00 degrees
Element x y z (fractional)
Re1 0.2500 0.2500 0.2500
Nb1 0.5000 0.5000 0.5000
Mg1 0.7500 0.7500 0.7500
Ti1 0.0000 0.0000 0.0000